Record 1
{
  "formula": "NaHfNi3",
  "functional": "PBE-GGA",
  "state": "relaxed",
  "dos_ef_per_ev_fu": 6.3,
  "formation_energy_ev_per_fu": 5.296,
  "sg": "Pm-3m, No. 221",
  "magmom_total_mub_per_cell": 0.0,
  "lattice": [[4.2791, 0.0000, 0.0000], [0.0000, 4.2791, 0.0000], [0.0000, 0.0000, 4.2791]],
  "species": ["Na", "Hf", "Ni", "Ni", "Ni"],
  "fractional_positions": [[0.0000, 0.0000, 0.0000], [0.5000, 0.5000, 0.5000], [0.0000, 0.0000, 0.5000], [0.0000, 0.5000, 0.0000], [0.5000, 0.0000, 0.0000]]
}

=====

Record 2
{
  "formula": "Y2CdAg",
  "functional": "PBE-GGA",
  "state": "relaxed",
  "dos_ef_per_ev_fu": 4.2,
  "formation_energy_ev_per_fu": -0.874,
  "sg": "Cm, No. 8",
  "magmom_total_mub_per_cell": 0.2,
  "lattice": [[5.7663, -1.7957, 0.0000], [5.7663, 1.7957, 0.0000], [-1.8220, 0.0000, 4.9160]],
  "species": ["Y", "Y", "Cd", "Ag"],
  "fractional_positions": [[0.0000, 0.0000, 0.0000], [0.2195, 0.2195, 0.6649], [0.4565, 0.4565, 0.4656], [0.7462, 0.7462, 0.1807]]
}